GGA-PBE Tm6Ga2Pd, relaxed; distance to the lowest polymorph of the same formula = 0 meV per atom; space group = No. 71; energy of formation from the pure elements = -0.475 eV/atom; magnetization = 0.001 μB per cell
1.0
-4.7280 4.7807 4.9570
4.7280 -4.7807 4.9570
4.7280 4.7807 -4.9570
Tm Ga Pd
12 4 2
Cartesian
4.7280 -2.7855 3.2417
2.9089 0.0000 2.5443
6.5472 0.0000 2.5443
3.0647 2.5123 0.0000
6.3913 2.5123 0.0000
0.0000 1.9951 1.7153
4.7280 2.7855 3.2417
-1.6633 2.2684 4.9570
1.6633 2.2684 4.9570
-1.8191 4.7807 2.4127
1.8191 4.7807 2.4127
0.0000 7.5662 1.7153
1.3631 0.0000 0.0000
8.0929 0.0000 0.0000
0.0000 0.0000 3.7201
0.0000 0.0000 6.1939
4.7280 0.0000 0.0000
0.0000 4.7807 0.0000

***

GGA-PBE Tm2Ga5Pd, relaxed; space group = No. 107; energy of formation from the pure elements = -0.575 eV/atom; magnetization = 0.000 μB per cell
1.0
-2.9736 2.9736 4.2099
2.9736 -2.9736 4.2099
2.9736 2.9736 -4.2099
Tm Ga Pd
2 5 1
Cartesian
2.9736 0.0000 0.0000
0.0000 2.9736 0.0000
0.0000 0.0000 0.0143
1.4915 1.4915 2.1052
1.4821 -1.4821 6.3151
-1.4821 1.4821 6.3151
1.4821 1.4821 6.3151
0.0000 0.0000 4.1961

***

GGA-PBE TmGa5Pd7, relaxed; space group = No. 44; energy of formation from the pure elements = -0.627 eV/atom; magnetization = 0.000 μB per cell
1.0
-2.6671 4.4989 4.3761
2.6671 -4.4989 4.3761
2.6671 4.4989 -4.3761
Tm Ga Pd
1 5 7
Cartesian
0.0000 0.0000 0.0000
1.3537 2.1686 -2.0931
3.9805 2.1686 -2.0931
2.6671 0.0000 2.0602
-1.3134 2.3303 2.2830
1.3134 2.3303 2.2830
2.6671 1.8265 0.1739
0.0000 0.0000 2.9397
2.6671 -1.4620 4.3628
2.6671 1.4620 4.3628
0.0000 0.0000 5.8067
0.0000 4.4989 2.4666
0.0000 2.6724 4.5500

***

GGA-PBE Tm3Ga4Pd4, relaxed; distance to the lowest polymorph of the same formula = 0 meV per atom; space group = No. 71; energy of formation from the pure elements = -0.833 eV/atom; magnetization = 0.000 μB per cell
1.0
-2.0610 3.5849 7.0298
2.0610 -3.5849 7.0298
2.0610 3.5849 -7.0298
Tm Ga Pd
3 4 4
Cartesian
0.0000 0.0000 0.0000
2.0610 0.0000 5.2732
0.0000 3.5849 1.7566
2.0610 1.4429 -2.4505
2.0610 1.4429 2.4505
0.0000 2.1420 4.5793
0.0000 2.1420 9.4804
0.0000 0.0000 2.9917
2.0610 2.1674 0.0000
0.0000 1.4175 7.0298
0.0000 0.0000 11.0680

***

GGA-PBE Tm3Ga2Pd, relaxed; distance to the lowest polymorph of the same formula = 0 meV per atom; space group = No. 123; energy of formation from the pure elements = -0.700 eV/atom; magnetization = 0.000 μB per cell
1.0
3.5168 0.0000 0.0000
0.0000 3.5168 0.0000
0.0000 0.0000 10.4562
Tm Ga Pd
3 2 1
Cartesian
0.0000 0.0000 0.0000
0.0000 0.0000 3.5532
0.0000 0.0000 6.9030
1.7584 1.7584 1.7630
1.7584 1.7584 8.6932
1.7584 1.7584 5.2281

***

GGA-PBE Tm2Ga5Pd3, relaxed; distance to the lowest polymorph of the same formula = 7 meV per atom; space group = No. 72; energy of formation from the pure elements = -0.735 eV/atom; magnetization = 0.000 μB per cell
1.0
-5.0435 6.4580 2.8110
5.0435 -6.4580 2.8110
5.0435 6.4580 -2.8110
Tm Ga Pd
4 10 6
Cartesian
2.2518 1.8897 0.0000
2.2518 -1.8897 2.8110
2.7916 8.3477 0.0000
2.7916 4.5683 2.8110
5.0435 -2.6168 1.4055
6.8221 1.1647 0.0000
0.0000 0.0000 1.4055
1.7787 5.2934 0.0000
5.0435 2.6168 1.4055
0.0000 3.8412 1.4055
3.2648 1.1647 2.8110
0.0000 0.0000 4.2165
-1.7787 5.2934 2.8110
0.0000 9.0748 1.4055
4.1378 -4.5401 2.8110
5.0435 0.0000 1.4055
4.1378 4.5401 0.0000
0.9057 1.9179 2.8110
0.0000 6.4580 1.4055
0.9057 10.9981 0.0000